1.
Material: LaRuPt
Method: DFT, PBE-GGA
State: optimized geometry

a = 4.5697 Å, b = 4.5697 Å, c = 4.5697 Å
α = 60.00°, β = 60.00°, γ = 60.00°
With the nearest neighbours (Å) after each atom.
Positions (direct):
La (0.0000, 0.0000, 0.0000)  4 Ru 2.80
Pt (0.5000, 0.5000, 0.5000)  4 Ru 2.80
Ru (0.7500, 0.7500, 0.7500)  4 La 2.80, 4 Pt 2.80

Computed properties:
- SG = F-43m, No. 216
- ΔE_f (meV per atom) = -75

2.
Material: AlFeSb2
Method: DFT, PBE-GGA
State: optimized geometry

a = 4.2070 Å, b = 3.8656 Å, c = 5.2655 Å
α = 68.22°, β = 90.00°, γ = 90.00°
With the nearest neighbours (Å) after each atom.
Positions (direct):
Fe (0.5000, 0.5569, 0.7564)  2 Al 2.49
Al (0.0000, 0.6967, 0.4855)  2 Fe 2.49, 1 Sb 2.76
Sb (0.0000, 0.9786, 0.9207)  3 Al 2.76-2.88, 4 Fe 2.96-2.98
Sb (0.5000, 0.2678, 0.3374)  3 Fe 2.81-2.84, 4 Al 2.94-2.96

Computed properties:
- raw formation energy (eV per atom) = 0.134
- SG = Pm, No. 6

3.
Material: RbNa2Hg
Method: DFT, PBE-GGA
State: optimized geometry

a = 5.5107 Å, b = 5.5107 Å, c = 7.2225 Å
α = 67.57°, β = 67.57°, γ = 60.00°
With the nearest neighbours (Å) after each atom.
Positions (direct):
Na (0.2918, 0.2918, 0.1246)  3 Na 3.41, 3 Hg 3.44
Na (0.0209, 0.0209, 0.9372)  3 Hg 3.18, 3 Na 3.41
Hg (0.6929, 0.6929, 0.9213)  6 Na 3.18-3.44
Rb (0.4944, 0.4944, 0.5168)  4 Hg 3.86-4.12, 7 Na 3.94-4.19

Computed properties:
- SG = R3m, No. 160
- ΔE_f (meV per atom) = -109

4.
Material: Sm2In
Method: DFT, PBE-GGA
State: optimized geometry

a = 5.3090 Å, b = 6.8268 Å, c = 10.0254 Å
α = 90.00°, β = 90.00°, γ = 90.00°
With the nearest neighbours (Å) after each atom.
Positions (direct):
Sm (0.7500, 0.3082, 0.0717)  5 In 3.24-3.58, 2 Sm 3.54
Sm (0.2500, 0.6918, 0.9283)  5 In 3.24-3.58, 2 Sm 3.54
Sm (0.2500, 0.0323, 0.2115)  5 In 3.31-3.66, 5 Sm 3.50-3.67
Sm (0.2500, 0.5323, 0.2885)  5 In 3.31-3.66, 5 Sm 3.50-3.67
Sm (0.7500, 0.8082, 0.4283)  5 In 3.24-3.58, 2 Sm 3.54
Sm (0.2500, 0.1918, 0.5717)  5 In 3.24-3.58, 2 Sm 3.54
Sm (0.7500, 0.9677, 0.7885)  5 In 3.31-3.66, 5 Sm 3.50-3.67
Sm (0.7500, 0.4677, 0.7115)  5 In 3.31-3.66, 5 Sm 3.50-3.67
In (0.7500, 0.2866, 0.3943)  8 Sm 3.24-3.58
In (0.7500, 0.7866, 0.1057)  8 Sm 3.24-3.58
In (0.2500, 0.2134, 0.8943)  8 Sm 3.24-3.58
In (0.2500, 0.7134, 0.6057)  8 Sm 3.24-3.58

Computed properties:
- SG = Pnma, No. 62
- ΔE_f (meV per atom) = -353

5.
Material: NiIr2Cl2
Method: DFT, PBE-GGA
State: optimized geometry

a = 7.4699 Å, b = 7.4699 Å, c = 2.8671 Å
α = 90.00°, β = 90.00°, γ = 90.00°
With the nearest neighbours (Å) after each atom.
Positions (direct):
Cl (0.6324, 0.1324, 0.0000)  2 Ir 2.33
Cl (0.8676, 0.6324, 0.0000)  2 Ir 2.33
Cl (0.3676, 0.8676, 0.0000)  2 Ir 2.33
Cl (0.1324, 0.3676, 0.0000)  2 Ir 2.33
Ni (0.0000, 0.0000, 0.0000)  2 Ni 2.87, 4 Cl 2.92, 8 Ir 3.06
Ni (0.5000, 0.5000, 0.0000)  2 Ni 2.87, 4 Cl 2.92, 8 Ir 3.06
Ir (0.6943, 0.8057, 0.5000)  2 Cl 2.33
Ir (0.3057, 0.1943, 0.5000)  2 Cl 2.33
Ir (0.8057, 0.3057, 0.5000)  2 Cl 2.33
Ir (0.1943, 0.6943, 0.5000)  2 Cl 2.33

Computed properties:
- raw formation energy (eV per atom) = 1.251
- SG = P4/mbm, No. 127

6.
Material: SrInIrI2
Method: DFT, PBE-GGA
State: optimized geometry

a = 5.5236 Å, b = 5.6148 Å, c = 5.5236 Å
α = 90.00°, β = 90.00°, γ = 90.00°
With the nearest neighbours (Å) after each atom.
Positions (direct):
I (0.5000, 0.0000, 0.0000)  2 Ir 2.76
I (0.0000, 0.0000, 0.5000)  2 Ir 2.76
Ir (0.0000, 0.0000, 0.0000)  4 I 2.76, 2 Sr 2.81
In (0.5000, 0.5000, 0.5000)  4 Sr 3.91, 8 I 3.94
Sr (0.0000, 0.5000, 0.0000)  2 Ir 2.81

Computed properties:
- raw formation energy (eV per atom) = -0.012
- SG = P4/mmm, No. 123

7.
Material: MnRe2Sb
Method: DFT, PBE-GGA
State: optimized geometry

a = 3.1539 Å, b = 3.1539 Å, c = 6.2638 Å
α = 90.00°, β = 90.00°, γ = 90.00°
With the nearest neighbours (Å) after each atom.
Positions (direct):
Re (0.0000, 0.0000, 0.9831)  4 Mn 2.67, 4 Sb 2.79, 1 Re 2.92
Re (0.0000, 0.0000, 0.5169)  4 Mn 2.67, 4 Sb 2.79, 1 Re 2.92
Mn (0.5000, 0.5000, 0.7500)  8 Re 2.67
Sb (0.5000, 0.5000, 0.2500)  8 Re 2.79

Computed properties:
- raw formation energy (eV per atom) = 0.416
- SG = P4/mmm, No. 123

8.
Material: ErCrW2C4
Method: DFT, PBE-GGA
State: optimized geometry

a = 3.1715 Å, b = 5.6584 Å, c = 10.7118 Å
α = 90.00°, β = 90.00°, γ = 106.28°
With the nearest neighbours (Å) after each atom.
Positions (direct):
W (0.3736, 0.7471, 0.5386)  3 C 2.03-2.14
W (0.6264, 0.2529, 0.0386)  3 C 2.03-2.14
W (0.6264, 0.2529, 0.4614)  3 C 2.03-2.14
W (0.3736, 0.7471, 0.9614)  3 C 2.03-2.14
C (0.2642, 0.5283, 0.1151)  1 Cr 1.86, 1 W 2.03
C (0.0000, 0.0000, 0.0000)  4 W 2.14
C (0.5618, 0.1237, 0.2500)  2 Cr 1.89
C (0.7358, 0.4717, 0.8849)  1 Cr 1.86, 1 W 2.03
C (0.0000, 0.0000, 0.5000)  4 W 2.14
C (0.4382, 0.8763, 0.7500)  2 Cr 1.89
C (0.2642, 0.5283, 0.3849)  1 Cr 1.86, 1 W 2.03
C (0.7358, 0.4717, 0.6151)  1 Cr 1.86, 1 W 2.03
Cr (0.1567, 0.3135, 0.2500)  4 C 1.86-1.89
Cr (0.8433, 0.6865, 0.7500)  4 C 1.86-1.89
Er (0.8904, 0.7808, 0.2500)  6 C 2.45-2.55
Er (0.1096, 0.2192, 0.7500)  6 C 2.45-2.55

Computed properties:
- SG = Cmcm, No. 63
- ΔE_f (meV per atom) = -73

9.
Material: DyMgAg2
Method: DFT, PBE-GGA
State: optimized geometry

a = 4.9472 Å, b = 4.9474 Å, c = 4.9532 Å
α = 59.92°, β = 59.92°, γ = 60.08°
With the nearest neighbours (Å) after each atom.
Positions (direct):
Dy (0.2500, 0.2500, 0.2500)  8 Ag 3.03
Ag (0.0001, 0.0000, 0.0002)  4 Mg 3.03, 4 Dy 3.03
Ag (0.5000, 0.4999, 0.4998)  4 Mg 3.03, 4 Dy 3.03
Mg (0.7500, 0.7500, 0.7500)  8 Ag 3.03

Computed properties:
- SG = I4/mmm, No. 139
- ΔE_f (meV per atom) = -291

10.
Material: NdLu3Os
Method: DFT, PBE-GGA
State: optimized geometry

a = 5.3380 Å, b = 5.3380 Å, c = 5.3380 Å
α = 90.00°, β = 90.00°, γ = 90.00°
With the nearest neighbours (Å) after each atom.
Positions (direct):
Lu (0.0000, 0.0000, 0.5000)  2 Os 2.67
Lu (0.5000, 0.0000, 0.0000)  2 Os 2.67
Lu (0.0000, 0.5000, 0.0000)  2 Os 2.67
Os (0.0000, 0.0000, 0.0000)  6 Lu 2.67
Nd (0.5000, 0.5000, 0.5000)  12 Lu 3.77

Computed properties:
- SG = Pm-3m, No. 221
- ΔE_f (meV per atom) = -65

11.
Material: Ba7Cd2Ir2
Method: DFT, PBE-GGA
State: optimized geometry

a = 7.9551 Å, b = 7.8406 Å, c = 7.8406 Å
α = 71.69°, β = 90.01°, γ = 90.01°
With the nearest neighbours (Å) after each atom.
Positions (direct):
Cd (0.5000, 0.8384, 0.1616)  1 Cd 2.97
Cd (0.5000, 0.1616, 0.8384)  1 Cd 2.97
Ba (0.2497, 0.5001, 0.0000)  2 Ir 3.09
Ba (0.7503, 0.0000, 0.4999)  2 Ir 3.09
Ba (0.2497, 0.0000, 0.5001)  2 Ir 3.09
Ba (0.7658, 0.5000, 0.5000)  2 Ir 3.18
Ba (0.0000, 0.0000, 0.0000)  2 Ir 3.77
Ba (0.2342, 0.5000, 0.5000)  2 Ir 3.18
Ba (0.7503, 0.4999, 0.0000)  2 Ir 3.09
Ir (0.0000, 0.7031, 0.7031)  6 Ba 3.09-3.18
Ir (0.0000, 0.2969, 0.2969)  6 Ba 3.09-3.18

Computed properties:
- SG = Cmmm, No. 65
- ΔE_f (meV per atom) = -155

12.
Material: SnB
Method: DFT, PBE-GGA
State: optimized geometry

a = 3.1667 Å, b = 6.5559 Å, c = 11.0373 Å
α = 90.00°, β = 90.00°, γ = 90.00°
With the nearest neighbours (Å) after each atom.
Positions (direct):
Sn (0.0000, 0.6341, 0.1673)  2 B 2.25-2.38
Sn (0.5000, 0.3659, 0.3327)  2 B 2.25-2.38
Sn (0.0000, 0.6341, 0.8327)  2 B 2.25-2.38
Sn (0.5000, 0.3659, 0.6673)  2 B 2.25-2.38
Sn (0.0000, 0.8433, 0.5000)  2 B 2.42
Sn (0.5000, 0.1567, 0.0000)  2 B 2.42
B (0.5000, 0.0338, 0.7540)  2 B 1.65
B (0.5000, 0.0338, 0.2460)  2 B 1.65
B (0.0000, 0.9662, 0.2540)  2 B 1.65
B (0.0000, 0.4366, 0.0000)  4 Sn 2.25-2.42
B (0.5000, 0.5634, 0.5000)  4 Sn 2.25-2.42
B (0.0000, 0.9662, 0.7460)  2 B 1.65

Computed properties:
- SG = Pmmn, No. 59
- ΔE_f (meV per atom) = 639